An optimized crystal structure of Sc2PbC. Source: the Alexandria database, functional PBE-GGA.

```
Sc2PbC
1.0
3.418 0.000 0.000
-1.709 2.961 -0.001
0.000 -1.973 7.539
Sc Pb C
2 1 1
direct
0.280 0.060 0.341 Sc
0.720 0.940 0.659 Sc
0.500 0.500 0.000 Pb
0.000 0.500 0.500 C
```

Values from the calculation:
DOS(E_F), states/eV per cell: 1.7
Spin magnetization, μB per atom: 0.000
Symmetry: No. 166
Calculated formation energy, eV/atom: -0.598

An optimized crystal structure of Y12PtAu6. Source: the Alexandria database, functional PBE-GGA.

```
Y12PtAu6
1.0
-1.813 7.579 -3.159
-6.500 -0.840 5.268
5.921 2.243 5.533
Y Pt Au
12 1 6
direct
0.819 0.574 0.422 Y
0.422 0.819 0.574 Y
0.574 0.422 0.819 Y
0.181 0.426 0.578 Y
0.578 0.181 0.426 Y
0.426 0.578 0.181 Y
0.070 0.955 0.320 Y
0.045 0.680 0.930 Y
0.680 0.930 0.045 Y
0.930 0.045 0.680 Y
0.955 0.320 0.070 Y
0.320 0.070 0.955 Y
0.000 0.000 0.000 Pt
0.694 0.866 0.379 Au
0.621 0.306 0.134 Au
0.134 0.621 0.306 Au
0.306 0.134 0.621 Au
0.379 0.694 0.866 Au
0.866 0.379 0.694 Au
```

Values from the calculation:
DOS(E_F), states/eV per cell: 23.1
Spin magnetization, μB per atom: 0.000
Symmetry: No. 148
Calculated formation energy, eV/atom: -0.546

An optimized crystal structure of HfPaAl. Source: the Alexandria database, functional PBE-GGA.

```
HfPaAl
1.0
4.521 0.000 0.000
0.000 3.020 0.000
0.000 1.510 9.262
Al Hf Pa
2 2 2
direct
0.250 0.109 0.783 Al
0.750 0.891 0.217 Al
0.250 0.453 0.095 Hf
0.750 0.547 0.905 Hf
0.750 0.707 0.586 Pa
0.250 0.293 0.414 Pa
```

Values from the calculation:
DOS(E_F), states/eV per cell: 7.2
Spin magnetization, μB per atom: 0.000
Symmetry: No. 63
Relative energy among the computed polymorphs, eV/atom: 0.111
Calculated formation energy, eV/atom: -0.048

An optimized crystal structure of Pm2SCl2O. Source: the Alexandria database, functional PBE-GGA.

```
Pm2SCl2O
1.0
3.947 0.000 0.000
0.000 7.193 0.000
0.000 0.000 10.870
Pm S Cl O
4 2 4 2
direct
0.000 0.247 0.737 Pm
0.500 0.345 0.433 Pm
0.000 0.747 0.263 Pm
0.500 0.845 0.567 Pm
0.000 0.036 0.431 S
0.000 0.536 0.569 S
0.500 0.875 0.103 Cl
0.000 0.368 0.232 Cl
0.500 0.375 0.897 Cl
0.000 0.868 0.768 Cl
0.500 0.175 0.629 O
0.500 0.675 0.371 O
```

Values from the calculation:
DOS(E_F), states/eV per cell: 0.0
Spin magnetization, μB per atom: 0.000
Symmetry: No. 26
Formation energy (no corrections), eV per atom: -2.5640

An optimized crystal structure of HoPtRhAu. Source: the Alexandria database, functional PBE-GGA.

```
HoPtRhAu
1.0
-4.557 0.404 -1.010
-2.915 -3.565 0.860
-3.146 0.327 3.456
Rh Au Ho Pt
1 1 1 1
direct
0.500 0.500 0.500 Rh
0.750 0.750 0.750 Au
0.250 0.250 0.250 Ho
0.000 0.000 0.000 Pt
```

Values from the calculation:
DOS(E_F), states/eV per cell: 2.4
Spin magnetization, μB per atom: 0.000
Symmetry: No. 216
Relative energy among the computed polymorphs, eV/atom: 0.177
Calculated formation energy, eV/atom: -0.625

An optimized crystal structure of Pm2PrSm2Ho4. Source: the Alexandria database, functional PBE-GGA.

```
Pm2PrSm2Ho4
1.0
-2.262 1.518 -2.400
-2.634 -9.196 -0.587
-4.160 5.023 7.096
Pm Pr Sm Ho
2 1 2 4
direct
0.333 0.666 0.997 Pm
0.667 0.334 0.003 Pm
0.000 0.000 0.000 Pr
0.853 0.705 0.336 Sm
0.147 0.295 0.664 Sm
0.814 0.629 0.663 Ho
0.186 0.371 0.337 Ho
0.520 0.039 0.335 Ho
0.480 0.961 0.665 Ho
```

Values from the calculation:
DOS(E_F), states/eV per cell: 11.9
Spin magnetization, μB per atom: 0.000
Symmetry: No. 12
Calculated formation energy, eV/atom: 0.000

An optimized crystal structure of Na3Cd2In8. Source: the Alexandria database, functional PBE-GGA.

```
Na3Cd2In8
1.0
6.657 0.682 4.227
2.885 5.037 5.297
1.180 2.553 13.842
Na Cd In
3 2 8
direct
0.000 0.000 0.000 Na
0.233 0.133 0.334 Na
0.767 0.867 0.666 Na
0.345 0.347 0.738 Cd
0.655 0.653 0.262 Cd
0.429 0.414 0.968 In
0.571 0.586 0.032 In
0.318 0.871 0.639 In
0.834 0.925 0.884 In
0.196 0.504 0.511 In
0.166 0.075 0.116 In
0.682 0.129 0.361 In
0.804 0.496 0.489 In
```

Values from the calculation:
DOS(E_F), states/eV per cell: 4.7
Spin magnetization, μB per atom: 0.000
Symmetry: No. 2
Relative energy among the computed polymorphs, eV/atom: 0.000
Calculated formation energy, eV/atom: -0.036

An optimized crystal structure of TeAu3Br. Source: the Alexandria database, functional PBE-GGA.

```
TeAu3Br
1.0
5.158 0.000 0.000
0.000 5.158 0.000
0.000 0.000 5.158
Te Au Br
1 3 1
direct
0.500 0.500 0.500 Te
0.000 0.500 0.000 Au
0.000 0.000 0.500 Au
0.500 0.000 0.000 Au
0.000 0.000 0.000 Br
```

Values from the calculation:
DOS(E_F), states/eV per cell: 3.7
Spin magnetization, μB per atom: 0.000
Symmetry: No. 221
Formation energy (no corrections), eV per atom: 0.8390

An optimized crystal structure of NaSb2TeRu. Source: the Alexandria database, functional PBE-GGA.

```
NaSb2TeRu
1.0
5.295 0.000 0.000
0.000 4.876 0.000
0.000 0.000 5.295
Sb Te Na Ru
2 1 1 1
direct
0.000 0.000 0.500 Sb
0.500 0.000 0.000 Sb
0.500 0.500 0.500 Te
0.000 0.000 0.000 Na
0.000 0.500 0.000 Ru
```

Values from the calculation:
DOS(E_F), states/eV per cell: 7.5
Spin magnetization, μB per atom: 0.292
Symmetry: No. 123
Formation energy (no corrections), eV per atom: 1.3095
Relative energy among the computed polymorphs, eV/atom: 1.181

An optimized crystal structure of NiHg4Mo. Source: the Alexandria database, functional PBE-GGA.

```
NiHg4Mo
1.0
0.000 4.002 4.002
4.002 0.000 4.002
4.002 4.002 0.000
Ni Hg Mo
1 4 1
direct
0.000 0.000 0.000 Ni
0.876 0.375 0.375 Hg
0.375 0.375 0.876 Hg
0.375 0.876 0.375 Hg
0.375 0.375 0.375 Hg
0.750 0.750 0.750 Mo
```

Values from the calculation:
DOS(E_F), states/eV per cell: 2.0
Spin magnetization, μB per atom: 0.674
Symmetry: No. 216
Calculated formation energy, eV/atom: 0.932

An optimized crystal structure of AlCu2GeS4. Source: the Alexandria database, functional PBE-GGA.

```
AlCu2GeS4
1.0
-0.351 -4.782 -2.601
4.233 1.401 -3.142
1.401 -0.479 6.408
Al Cu Ge S
1 2 1 4
direct
0.500 0.500 0.000 Al
0.750 0.250 0.500 Cu
0.250 0.750 0.500 Cu
0.000 0.000 0.000 Ge
0.604 0.604 0.738 S
0.397 0.865 0.262 S
0.865 0.397 0.262 S
0.135 0.135 0.738 S
```

Values from the calculation:
DOS(E_F), states/eV per cell: 3.2
Spin magnetization, μB per atom: 0.000
Symmetry: No. 121
Formation energy (no corrections), eV per atom: -0.4886

An optimized crystal structure of CoPb2Br. Source: the Alexandria database, functional PBE-GGA.

```
CoPb2Br
1.0
7.152 0.023 -0.014
4.826 5.279 0.014
-5.581 -3.573 2.691
Br Co Pb
1 1 2
direct
0.750 0.250 0.500 Br
0.250 0.750 0.500 Co
0.073 0.073 0.000 Pb
0.427 0.427 0.000 Pb
```

Values from the calculation:
DOS(E_F), states/eV per cell: 3.9
Spin magnetization, μB per atom: 0.387
Symmetry: No. 71
Formation energy (no corrections), eV per atom: 0.3090
Relative energy among the computed polymorphs, eV/atom: 0.212

An optimized crystal structure of LaCr2CuS. Source: the Alexandria database, functional PBE-GGA.

```
LaCr2CuS
1.0
-2.706 -1.497 -4.015
1.707 -4.597 0.563
-3.910 -1.080 3.038
Cr S Cu La
2 1 1 1
direct
0.000 0.000 0.500 Cr
0.500 0.000 0.000 Cr
0.500 0.500 0.500 S
0.000 0.500 0.000 Cu
0.000 0.000 0.000 La
```

Values from the calculation:
DOS(E_F), states/eV per cell: 3.4
Spin magnetization, μB per atom: 1.533
Symmetry: No. 123
Formation energy (no corrections), eV per atom: 1.8518

An optimized crystal structure of NaGa6Au2. Source: the Alexandria database, functional PBE-GGA.

```
NaGa6Au2
1.0
-3.221 2.524 -0.239
-2.521 -3.148 0.729
0.693 1.878 10.507
Na Ga Au
1 6 2
direct
0.000 0.000 0.000 Na
0.000 0.500 0.293 Ga
0.500 0.000 0.293 Ga
0.000 0.500 0.707 Ga
0.500 0.000 0.707 Ga
0.500 0.500 0.500 Ga
0.000 0.000 0.500 Ga
0.500 0.500 0.127 Au
0.500 0.500 0.873 Au
```

Values from the calculation:
DOS(E_F), states/eV per cell: 4.5
Spin magnetization, μB per atom: 0.000
Symmetry: No. 123
Calculated formation energy, eV/atom: -0.131

An optimized crystal structure of ScCr2Br. Source: the Alexandria database, functional PBE-GGA.

```
ScCr2Br
1.0
-0.621 0.740 -5.319
-0.256 -4.681 -2.692
-2.401 2.975 3.822
Br Cr Sc
1 2 1
direct
0.223 0.723 0.500 Br
0.992 0.992 0.000 Cr
0.793 0.293 0.500 Cr
0.492 0.492 0.000 Sc
```

Values from the calculation:
DOS(E_F), states/eV per cell: 3.0
Spin magnetization, μB per atom: 0.109
Symmetry: No. 44
Formation energy (no corrections), eV per atom: 0.3551
Relative energy among the computed polymorphs, eV/atom: 0.366

An optimized crystal structure of BaPaInN3. Source: the Alexandria database, functional PBE-GGA.

```
BaPaInN3
1.0
3.608 0.000 0.000
0.000 11.300 1.141
0.000 -3.369 6.232
Ba Pa In N
2 2 2 6
direct
0.250 0.311 0.267 Ba
0.750 0.689 0.733 Ba
0.250 0.634 0.178 Pa
0.750 0.366 0.822 Pa
0.250 0.118 0.542 In
0.750 0.882 0.458 In
0.750 0.742 0.135 N
0.250 0.258 0.865 N
0.250 0.772 0.521 N
0.750 0.228 0.479 N
0.750 0.500 0.174 N
0.250 0.500 0.826 N
```

Values from the calculation:
DOS(E_F), states/eV per cell: 1.5
Spin magnetization, μB per atom: 0.000
Symmetry: No. 11
Formation energy (no corrections), eV per atom: -0.8385

An optimized crystal structure of KYPb. Source: the Alexandria database, functional PBE-GGA.

```
KYPb
1.0
16.188 0.000 0.050
4.578 3.672 -1.920
-4.578 3.672 1.920
Pb Y K
2 2 2
direct
0.500 0.751 0.751 Pb
0.500 0.249 0.249 Pb
0.611 0.084 0.916 Y
0.389 0.916 0.084 Y
0.999 0.823 0.177 K
0.001 0.177 0.823 K
```

Values from the calculation:
DOS(E_F), states/eV per cell: 2.5
Spin magnetization, μB per atom: 0.132
Symmetry: No. 12
Relative energy among the computed polymorphs, eV/atom: 0.157
Calculated formation energy, eV/atom: -0.133

An optimized crystal structure of TbPm2In2Ag2. Source: the Alexandria database, functional PBE-GGA.

```
TbPm2In2Ag2
1.0
-4.602 -1.227 -1.029
-1.021 -2.385 -4.124
-0.727 -9.098 2.565
Tb Pm In Ag
1 2 2 2
direct
0.000 0.000 0.000 Tb
0.126 0.126 0.623 Pm
0.874 0.874 0.377 Pm
0.737 0.737 0.790 In
0.263 0.263 0.210 In
0.607 0.607 0.178 Ag
0.393 0.393 0.822 Ag
```

Values from the calculation:
DOS(E_F), states/eV per cell: 5.6
Spin magnetization, μB per atom: 0.000
Symmetry: No. 166
Calculated formation energy, eV/atom: -0.298

An optimized crystal structure of K2NpHgS4. Source: the Alexandria database, functional PBE-GGA.

```
K2NpHgS4
1.0
-0.947 -3.361 -2.018
5.418 -3.922 3.989
-2.780 -2.896 6.128
K Np Hg S
2 1 1 4
direct
0.000 0.000 0.000 K
0.500 0.000 0.500 K
0.000 0.500 0.500 Np
0.500 0.500 0.000 Hg
0.000 0.682 0.759 S
0.000 0.318 0.241 S
0.500 0.716 0.298 S
0.500 0.284 0.702 S
```

Values from the calculation:
DOS(E_F), states/eV per cell: 10.7
Spin magnetization, μB per atom: 0.375
Symmetry: No. 10
Formation energy (no corrections), eV per atom: -0.9924

An optimized crystal structure of CsAgBr3. Source: the Alexandria database, functional PBE-GGA.

```
CsAgBr3
1.0
-7.343 -0.101 -4.881
-3.882 -7.690 -1.884
-7.713 -2.032 3.761
Cs Br Ag
2 6 2
direct
0.000 0.000 0.000 Cs
0.500 0.500 0.500 Cs
0.965 0.535 0.250 Br
0.535 0.250 0.965 Br
0.250 0.965 0.535 Br
0.750 0.035 0.465 Br
0.465 0.750 0.035 Br
0.035 0.465 0.750 Br
0.250 0.250 0.250 Ag
0.750 0.750 0.750 Ag
```

Values from the calculation:
DOS(E_F), states/eV per cell: 19.4
Spin magnetization, μB per atom: 0.200
Symmetry: No. 167
Formation energy (no corrections), eV per atom: -0.7151

An optimized crystal structure of LiCoGe2Rh. Source: the Alexandria database, functional PBE-GGA.

```
LiCoGe2Rh
1.0
-3.211 -2.890 0.321
0.652 -0.310 3.738
-2.812 3.208 0.757
Co Ge Rh Li
1 2 1 1
direct
0.000 0.500 0.000 Co
0.000 0.000 0.500 Ge
0.500 0.000 0.000 Ge
0.500 0.500 0.500 Rh
0.000 0.000 0.000 Li
```

Values from the calculation:
DOS(E_F), states/eV per cell: 3.6
Spin magnetization, μB per atom: 0.239
Symmetry: No. 123
Calculated formation energy, eV/atom: 0.701

An optimized crystal structure of Ac2NdMn2N6. Source: the Alexandria database, functional PBE-GGA.

```
Ac2NdMn2N6
1.0
-5.336 0.331 2.080
-2.503 -4.655 2.231
-0.318 0.033 7.089
Ac Nd Mn N
2 1 2 6
direct
0.786 0.786 0.641 Ac
0.214 0.214 0.359 Ac
0.000 0.000 0.000 Nd
0.406 0.406 0.782 Mn
0.594 0.594 0.218 Mn
0.734 0.734 0.287 N
0.244 0.734 0.287 N
0.734 0.244 0.287 N
0.266 0.756 0.713 N
0.756 0.266 0.713 N
0.266 0.266 0.713 N
```

Values from the calculation:
DOS(E_F), states/eV per cell: 4.5
Spin magnetization, μB per atom: 0.080
Symmetry: No. 166
Formation energy (no corrections), eV per atom: -0.7414

An optimized crystal structure of Li2TlVCl. Source: the Alexandria database, functional PBE-GGA.

```
Li2TlVCl
1.0
-2.418 0.145 -4.933
-0.440 -4.416 0.086
-4.905 0.536 2.420
Tl Cl Li V
1 1 2 1
direct
0.500 0.500 0.500 Tl
0.000 0.500 0.000 Cl
0.000 0.000 0.500 Li
0.500 0.000 0.000 Li
0.000 0.000 0.000 V
```

Values from the calculation:
DOS(E_F), states/eV per cell: 3.1
Spin magnetization, μB per atom: 0.609
Symmetry: No. 123
Formation energy (no corrections), eV per atom: 0.2347

An optimized crystal structure of SrZn2Au2. Source: the Alexandria database, functional PBE-GGA.

```
SrZn2Au2
1.0
4.597 0.000 0.000
0.000 4.597 0.000
0.000 0.000 10.440
Sr Zn Au
2 4 4
direct
0.500 0.000 0.254 Sr
0.000 0.500 0.746 Sr
0.000 0.500 0.376 Zn
0.500 0.000 0.624 Zn
0.500 0.500 0.000 Zn
0.000 0.000 0.000 Zn
0.500 0.500 0.500 Au
0.000 0.000 0.500 Au
0.000 0.500 0.129 Au
0.500 0.000 0.871 Au
```

Values from the calculation:
DOS(E_F), states/eV per cell: 2.9
Spin magnetization, μB per atom: 0.000
Symmetry: No. 129
Relative energy among the computed polymorphs, eV/atom: 0.000
Calculated formation energy, eV/atom: -0.516

An optimized crystal structure of Tb3Pm4Tm2. Source: the Alexandria database, functional PBE-GGA.

```
Tb3Pm4Tm2
1.0
5.064 0.000 0.000
0.000 7.981 0.630
-2.532 -2.970 7.010
Tb Pm Tm
3 4 2
direct
0.889 0.331 0.777 Tb
0.111 0.669 0.223 Tb
0.000 0.000 0.000 Tb
0.554 0.331 0.109 Pm
0.778 0.669 0.555 Pm
0.446 0.669 0.891 Pm
0.222 0.331 0.445 Pm
0.333 0.000 0.665 Tm
0.667 0.000 0.335 Tm
```

Values from the calculation:
DOS(E_F), states/eV per cell: 13.2
Spin magnetization, μB per atom: 0.000
Symmetry: No. 12
Relative energy among the computed polymorphs, eV/atom: 0.000
Calculated formation energy, eV/atom: 0.020